KMgZn2Pd | GGA-PBE | optimized geometry

Size of the total moment in μB per cell: 0.0
D(E_F) in states/eV per cell: 1.57
Raw total energy in eV/atom: -2.26

a = 5.0027 Å, b = 5.0027 Å, c = 5.0513 Å
α = 90.00°, β = 90.00°, γ = 90.00°
Space group P4/mmm (No. 123)
Symmetry-distinct sites (fractional):
K 0.0000 0.0000 0.0000 [1 per cell]
Mg 0.5000 0.5000 0.0000 [1 per cell]
Zn 0.0000 0.5000 0.5000 [2 per cell]
Pd 0.5000 0.5000 0.5000 [1 per cell]